# KErSnBr6

An optimized crystal structure of KErSnBr6 (PBE, Alexandria via LeMat-Bulk).

The value obtained for the formation energy from raw total energies is -145 kJ per mole of atoms. The value obtained for the density is 3.79 g/cm³. The density of states at the Fermi level is 0.00 states/eV/f.u.

The space group is P312 (No. 149) and the conventional cell measures 7.5392, 7.5392 and 7.1619 Å, with angles of 90.00, 90.00 and 120.00 degrees. The inequivalent atoms are K at (0.0000, 0.0000, 0.0000), Er at (0.6667, 0.3333, 0.5000), Sn at (0.3333, 0.6667, 0.5000) and Br at (0.3766, 0.0210, 0.7266).